# 1
Ba2ScBr | SCAN | PBEsol geometry

Cell: 6.773 6.773 6.068 Å, 108.79 108.79 31.69°
Sites, in units of the cell vectors:
Ba 0.000 0.000 0.000
Ba 0.197 0.197 0.638
Sc 0.770 0.770 0.195
Br 0.435 0.435 0.470

Summary:
Energy above the lowest structure with this stoichiometry   0.185 eV/atom
Energy relative to the elements, uncorrected   -0.407 eV/atom
SG   Cm (8)

# 2
MgBe4Co | SCAN | PBEsol geometry

Cell: 4.310 4.310 4.310 Å, 60.00 60.00 60.00°
Sites, in units of the cell vectors:
Mg 0.000 0.000 0.000
Be 0.131 0.623 0.623
Be 0.623 0.131 0.623
Be 0.623 0.623 0.131
Be 0.623 0.623 0.623
Co 0.250 0.250 0.250

Summary:
Formation energy from the elements   -0.3 eV/f.u.
SG   F-43m (216)

# 3
TlCu2Br | SCAN | PBEsol geometry

Cell: 4.866 4.866 4.866 Å, 60.00 60.00 60.00°
Sites, in units of the cell vectors:
Tl 0.000 0.000 0.000
Cu 0.500 0.500 0.500
Cu 0.750 0.750 0.750
Br 0.250 0.250 0.250

Summary:
Energy above the lowest structure with this stoichiometry   0.187 eV/atom
Energy relative to the elements, uncorrected   0.648 eV/atom
SG   F-43m (216)

# 4
KBiSI2 | SCAN | PBEsol geometry

Cell: 5.913 5.913 7.519 Å, 90.00 90.00 90.00°
Sites, in units of the cell vectors:
K 0.000 0.000 0.000
Bi 0.000 0.000 0.500
S 0.500 0.500 0.000
I 0.000 0.500 0.500
I 0.500 0.000 0.500

Summary:
Energy relative to the elements, uncorrected   0.082 eV/atom
SG   P4/mmm (123)

# 5
Ti2BiN | SCAN | PBEsol geometry

Cell: 4.461 4.461 4.461 Å, 60.00 60.00 60.00°
Sites, in units of the cell vectors:
Ti 0.250 0.250 0.250
Ti 0.750 0.750 0.750
Bi 0.000 0.000 0.000
N 0.500 0.500 0.500

Summary:
Energy relative to the elements, uncorrected   0.490 eV/atom
SG   Fm-3m (225)

# 6
CdSb2TeBr | SCAN | PBEsol geometry

Cell: 5.509 5.509 5.430 Å, 90.00 90.00 90.00°
Sites, in units of the cell vectors:
Cd 0.000 0.000 0.000
Sb 0.000 0.500 0.500
Sb 0.500 0.000 0.500
Te 0.500 0.500 0.000
Br 0.500 0.500 0.500

Summary:
Energy relative to the elements, uncorrected   0.982 eV/atom
SG   P4/mmm (123)

# 7
Tc2TeRh | SCAN | PBEsol geometry

Cell: 2.880 4.099 5.478 Å, 90.00 102.72 90.00°
Sites, in units of the cell vectors:
Tc 0.103 0.000 0.227
Tc 0.897 0.000 0.773
Te 0.500 0.500 0.500
Rh 0.500 0.500 0.000

Summary:
Energy relative to the elements, uncorrected   0.344 eV/atom
SG   P2/m (10)

# 8
BaCu2SeI | SCAN | PBEsol geometry

Cell: 5.540 5.540 5.889 Å, 90.00 90.00 90.00°
Sites, in units of the cell vectors:
Ba 0.000 0.000 0.000
Cu 0.000 0.500 0.000
Cu 0.500 0.000 0.000
Se 0.000 0.000 0.500
I 0.500 0.500 0.500

Summary:
Energy relative to the elements, uncorrected   0.980 eV/atom
SG   P4/mmm (123)

# 9
K2CdHg | SCAN | PBEsol geometry

Cell: 3.935 4.536 7.811 Å, 90.00 90.08 90.00°
Sites, in units of the cell vectors:
K 0.000 0.000 0.244
K 0.000 0.000 0.756
Cd 0.500 0.500 0.500
Hg 0.500 0.500 0.000

Summary:
Formation energy from the elements   -0.5 eV/f.u.
SG   P2/m (10)

# 10
ReNiOs2 | SCAN | PBEsol geometry

Cell: 4.587 4.587 4.627 Å, 99.24 99.24 33.99°
Sites, in units of the cell vectors:
Re 0.000 0.000 0.000
Ni 0.500 0.500 0.500
Os 0.252 0.252 0.743
Os 0.748 0.748 0.257

Summary:
Energy above the lowest structure with this stoichiometry   0.007 eV/atom
Formation energy from the elements   0.5 eV/f.u.
SG   C2/m (12)

# 11
BaRh2W | SCAN | PBEsol geometry

Cell: 6.381 6.381 6.381 Å, 38.84 38.84 38.84°
Sites, in units of the cell vectors:
Ba 0.000 0.000 0.000
Rh 0.203 0.203 0.203
Rh 0.797 0.797 0.797
W 0.500 0.500 0.500

Summary:
Energy above the lowest structure with this stoichiometry   0.000 eV/atom
Formation energy from the elements   0.3 eV/f.u.
SG   R-3m (166)

# 12
Zr2AlH2 | SCAN | PBEsol geometry

Cell: 5.383 5.383 5.383 Å, 139.85 139.85 58.08°
Sites, in units of the cell vectors:
Zr 0.159 0.159 0.000
Zr 0.841 0.841 0.000
Al 0.500 0.500 0.000
H 0.250 0.750 0.500
H 0.750 0.250 0.500

Summary:
VASP energy   -15.714 eV/atom
SG   I4/mmm (139)

# 13
CoCuPt2 | SCAN | PBEsol geometry

Cell: 4.237 4.237 4.237 Å, 60.00 60.00 60.00°
Sites, in units of the cell vectors:
Co 0.000 0.000 0.000
Cu 0.750 0.750 0.750
Pt 0.250 0.250 0.250
Pt 0.500 0.500 0.500

Summary:
Formation energy from the elements   -0.1 eV/f.u.
SG   F-43m (216)

# 14
LaY2Rh | SCAN | PBEsol geometry

Cell: 3.462 3.462 8.716 Å, 90.00 90.00 90.00°
Sites, in units of the cell vectors:
La 0.000 0.000 0.000
Y 0.500 0.500 0.316
Y 0.500 0.500 0.684
Rh 0.000 0.000 0.500

Summary:
Energy above the lowest structure with this stoichiometry   0.000 eV/atom
Formation energy from the elements   -1.9 eV/f.u.
SG   P4/mmm (123)